Entry 1:
Pr8ZnAu2 after structural relaxation. Source: Alexandria via LeMat-Bulk, functional PBE-GGA.

Values from the calculation:
The calculation puts the offset from the most stable computed form at 0.117 eV per atom. The volume comes out at 31.676 Å³ per atom. For the calculated formation energy, the calculation gives -0.20 eV per atom.

a b c (Å): 5.7815 8.4730 8.4730
angles (deg): 116.37 100.61 100.61
Last column: nearest neighbours and their distance in Å.
Fractional positions:
Pr  0.5751  0.3304  0.0936  2 Au 3.03-3.18
Pr  0.5751  0.0936  0.3304  2 Au 3.03-3.18
Pr  0.1810  0.3891  0.3891  1 Zn 3.30, 2 Au 3.33, 4 Pr 3.42-3.62
Pr  0.9962  0.2295  0.7762  2 Au 3.08-3.10, 1 Zn 3.28
Pr  0.9962  0.7762  0.2295  2 Au 3.08-3.10, 1 Zn 3.28
Pr  0.8093  0.6138  0.6138  1 Zn 3.22, 2 Au 3.32, 2 Pr 3.42-3.48
Pr  0.4143  0.9124  0.6819  2 Au 3.05-3.22, 1 Pr 3.32
Pr  0.4143  0.6819  0.9124  2 Au 3.05-3.22, 1 Pr 3.32
Zn  0.0479  0.9984  0.9984  6 Pr 3.22-3.43
Au  0.4951  0.7011  0.3075  8 Pr 3.03-3.33
Au  0.4951  0.3075  0.7011  8 Pr 3.03-3.33


Entry 2:
PrZnAu2 after structural relaxation. Source: Alexandria via LeMat-Bulk, functional PBE-GGA.

Values from the calculation:
The volume comes out at 23.834 Å³ per atom. For the calculated formation energy, the calculation gives -0.51 eV per atom.

a b c (Å): 5.2462 6.2250 6.2250
angles (deg): 110.29 90.00 90.00
Last column: nearest neighbours and their distance in Å.
Fractional positions:
Pr  0.2500  0.6929  0.3071  8 Au 3.10-3.20, 2 Zn 3.40
Pr  0.7500  0.3071  0.6929  8 Au 3.10-3.20, 2 Zn 3.40
Zn  0.5000  0.0000  0.0000  2 Zn 2.62, 4 Au 2.68
Zn  0.0000  0.0000  0.0000  2 Zn 2.62, 4 Au 2.68
Au  0.2500  0.6093  0.7856  2 Zn 2.68, 1 Au 2.81
Au  0.7500  0.3907  0.2144  2 Zn 2.68, 1 Au 2.81
Au  0.2500  0.2144  0.3907  2 Zn 2.68, 1 Au 2.81
Au  0.7500  0.7856  0.6093  2 Zn 2.68, 1 Au 2.81